The following is a PBE calculation of a geometry-optimized ScInIr structure, from the Alexandria database.

Results
The value obtained for the total magnetization is 0.0 μB/cell. The calculation puts the raw total energy at -6.5217 eV per atom. For the formation energy, the calculation gives -0.545 eV/atom. The value obtained for the density of states at the Fermi level is 0.450 states/eV per atom.

Cell: 6.252 6.252 3.135 Å, 75.48 75.48 29.04°
Atoms (fractional coordinates):
Sc 0.689 0.689 0.311
Ir 0.327 0.327 0.673
In 0.984 0.984 0.016

The following is a PBE calculation of a geometry-optimized Pr2Nd4ErMg structure, from the Alexandria database.

Results
The value obtained for the total magnetization is 0.0 μB/cell. The calculation puts the raw total energy at -4.3406 eV per atom. For the formation energy, the calculation gives 0.008 eV/atom. The value obtained for the density of states at the Fermi level is 1.434 states/eV per atom.

Cell: 5.091 5.090 11.467 Å, 63.65 90.00 90.00°
Atoms (fractional coordinates):
Nd 0.500 0.751 0.249
Nd 0.000 0.749 0.752
Nd 0.000 0.251 0.248
Nd 0.500 0.249 0.751
Er 0.000 0.500 0.500
Mg 0.500 0.500 0.000
Pr 0.000 0.000 0.000
Pr 0.500 0.000 0.500

The following is a PBE calculation of a geometry-optimized PaCdCu4 structure, from the Alexandria database.

Results
The value obtained for the total magnetization is 0.9 μB/cell. The calculation puts the raw total energy at -4.4781 eV per atom. For the formation energy, the calculation gives -0.012 eV/atom. The value obtained for the density of states at the Fermi level is 1.028 states/eV per atom.

Cell: 5.145 5.145 5.145 Å, 60.00 60.00 60.00°
Each line ends with the local moment (μB).
Atoms (fractional coordinates):
Cu 0.626 0.626 0.626  0.02
Cu 0.626 0.626 0.123  0.02
Cu 0.123 0.626 0.626  0.02
Cu 0.626 0.123 0.626  0.02
Pa 0.250 0.250 0.250  0.73
Cd 0.000 0.000 0.000  0.01

The following is a PBE calculation of a geometry-optimized KCeCu2F8 structure, from the Alexandria database.

Results
The value obtained for the uncorrected formation energy is -2501 meV per atom. The value obtained for the total magnetization is 1.0 μB/cell. The calculation puts the raw total energy at -5.0175 eV per atom. The value obtained for the density of states at the Fermi level is 1.370 states/eV per atom.

Cell: 5.800 5.800 7.863 Å, 90.00 90.00 120.00°
Each line ends with the local moment (μB).
Atoms (fractional coordinates):
F 0.166 0.834 0.819  0.02
F 0.667 0.333 0.556  0.06
F 0.834 0.166 0.181  0.02
F 0.333 0.667 0.444  0.06
F 0.667 0.834 0.819  0.02
F 0.166 0.333 0.819  0.02
F 0.333 0.166 0.181  0.02
F 0.834 0.667 0.181  0.02
Ce 0.000 0.000 0.000  -0.10
Cu 0.667 0.333 0.322  0.44
Cu 0.333 0.667 0.678  0.44
K 0.000 0.000 0.500  0.00

The following is a PBE calculation of a geometry-optimized CsLaHRhS structure, from the Alexandria database.

Results
The value obtained for the total magnetization is 0.0 μB/cell. The calculation puts the raw total energy at -4.8315 eV per atom. Its energy above the most stable polymorph in this dataset is 0.232 eV/atom.

Cell: 4.296 4.475 8.048 Å, 72.83 89.28 78.85°
Atoms (fractional coordinates):
S 0.118 0.455 0.951
H 0.736 0.218 0.512
Rh 0.595 0.586 0.857
Cs 0.706 0.873 0.227
La 0.260 0.111 0.702

The following is a PBE calculation of a geometry-optimized Rb5TlHg6 structure, from the Alexandria database.

Results
The value obtained for the total magnetization is 0.0 μB/cell. The calculation puts the raw total energy at -0.9206 eV per atom. For the formation energy, the calculation gives -0.169 eV/atom. The value obtained for the density of states at the Fermi level is 0.696 states/eV per atom.

Cell: 6.897 9.003 10.125 Å, 109.44 101.23 109.16°
Atoms (fractional coordinates):
Tl 0.000 0.000 0.000
Hg 0.882 0.495 0.623
Hg 0.741 0.128 0.623
Hg 0.118 0.505 0.377
Hg 0.395 0.311 0.000
Hg 0.605 0.689 0.000
Hg 0.259 0.872 0.377
Rb 0.617 0.117 0.235
Rb 0.383 0.883 0.765
Rb 0.000 0.500 0.000
Rb 0.307 0.307 0.615
Rb 0.693 0.693 0.385

The following is a PBE calculation of a geometry-optimized Na3Mg5 structure, from the Alexandria database.

Results
The value obtained for the total magnetization is 0.0 μB/cell. The calculation puts the raw total energy at -1.3550 eV per atom. For the formation energy, the calculation gives 0.136 eV/atom. Its energy above the most stable polymorph in this dataset is 0.029 eV/atom. The value obtained for the density of states at the Fermi level is 0.558 states/eV per atom.

Cell: 8.681 10.964 5.982 Å, 90.00 90.00 128.44°
Atoms (fractional coordinates):
Mg 0.344 0.193 0.250
Mg 0.898 0.971 0.250
Mg 0.656 0.807 0.750
Mg 0.085 0.319 0.250
Mg 0.238 0.621 0.504
Mg 0.102 0.029 0.750
Mg 0.762 0.379 0.496
Mg 0.762 0.379 0.004
Mg 0.915 0.681 0.750
Mg 0.238 0.621 0.996
Na 0.589 0.590 0.250
Na 0.083 0.796 0.250
Na 0.917 0.204 0.750
Na 0.420 0.985 0.750
Na 0.411 0.410 0.750
Na 0.580 0.015 0.250

The following is a PBE calculation of a geometry-optimized Pm2MnBPt6 structure, from the Alexandria database.

Results
The value obtained for the total magnetization is 4.3 μB/cell. The calculation puts the raw total energy at -6.9417 eV per atom. For the formation energy, the calculation gives -0.782 eV/atom. The value obtained for the density of states at the Fermi level is 0.435 states/eV per atom.

Cell: 5.703 7.327 7.328 Å, 45.80 67.10 90.00°
Each line ends with the local moment (μB).
Atoms (fractional coordinates):
Pt 0.264 0.736 0.955  0.11
Pt 0.220 0.264 0.045  0.11
Pt 0.736 0.780 0.528  0.11
Pt 0.736 0.264 0.045  0.11
Pt 0.264 0.220 0.472  0.11
Pt 0.780 0.736 0.955  0.11
B 0.500 0.500 0.000  0.02
Mn 0.000 0.000 0.000  3.59
Pm 0.288 0.711 0.423  -0.05
Pm 0.712 0.289 0.577  -0.05

The following is a PBE calculation of a geometry-optimized CrOs2W structure, from the Alexandria database.

Results
The value obtained for the total magnetization is 0.0 μB/cell. The calculation puts the raw total energy at -10.3616 eV per atom. For the formation energy, the calculation gives 0.897 eV/atom. Its energy above the most stable polymorph in this dataset is 0.806 eV/atom. The value obtained for the density of states at the Fermi level is 0.968 states/eV per atom.

Cell: 3.885 3.885 8.908 Å, 77.41 77.41 90.00°
Atoms (fractional coordinates):
Cr 0.250 0.750 0.500
Cr 0.500 0.500 0.000
W 0.750 0.250 0.500
W 0.000 0.000 0.000
Os 0.375 0.407 0.750
Os 0.875 0.843 0.750
Os 0.593 0.125 0.250
Os 0.157 0.625 0.250

The following is a PBE calculation of a geometry-optimized Zn2NiOs structure, from the Alexandria database.

Results
The value obtained for the total magnetization is 0.0 μB/cell. The calculation puts the raw total energy at -4.7847 eV per atom. For the formation energy, the calculation gives 0.105 eV/atom. The value obtained for the density of states at the Fermi level is 0.863 states/eV per atom.

Cell: 4.692 4.692 4.586 Å, 78.56 78.56 32.86°
Atoms (fractional coordinates):
Os 0.241 0.241 0.248
Ni 0.504 0.504 0.503
Zn 0.758 0.758 0.738
Zn 0.997 0.997 0.011

The following is a PBE calculation of a geometry-optimized CePb3Se6 structure, from the Alexandria database.

Results
The value obtained for the uncorrected formation energy is -774 meV per atom. The value obtained for the total magnetization is 0.3 μB/cell. The calculation puts the raw total energy at -4.5703 eV per atom. The value obtained for the density of states at the Fermi level is 0.193 states/eV per atom.

Cell: 4.260 12.089 12.761 Å, 105.49 90.00 90.00°
Each line ends with the local moment (μB).
Atoms (fractional coordinates):
Se 0.250 0.537 0.384  -0.01
Se 0.250 0.890 0.535  -0.02
Se 0.250 0.094 0.835  -0.01
Se 0.250 0.213 0.714  -0.01
Se 0.750 0.110 0.465  -0.02
Se 0.750 0.392 0.075  0.00
Se 0.750 0.906 0.165  -0.01
Se 0.750 0.463 0.616  -0.01
Se 0.250 0.171 0.235  -0.01
Se 0.250 0.608 0.925  0.00
Se 0.750 0.829 0.765  -0.01
Se 0.750 0.787 0.286  -0.01
Ce 0.250 0.974 0.337  0.21
Ce 0.750 0.026 0.663  0.21
Pb 0.250 0.341 0.475  0.00
Pb 0.250 0.552 0.159  0.00
Pb 0.750 0.448 0.841  0.00
Pb 0.250 0.837 0.916  0.00
Pb 0.750 0.659 0.525  0.00
Pb 0.750 0.163 0.084  0.00

The following is a PBE calculation of a geometry-optimized Rb4AgF5 structure, from the Alexandria database.

Results
The value obtained for the uncorrected formation energy is -2311 meV per atom. The value obtained for the total magnetization is 0.1 μB/cell. The calculation puts the raw total energy at -3.9184 eV per atom. The value obtained for the density of states at the Fermi level is 0.000 states/eV per atom.

Cell: 5.701 6.826 6.826 Å, 79.95 65.31 65.31°
Each line ends with the local moment (μB).
Atoms (fractional coordinates):
F 0.465 0.000 0.000  0.00
F 0.279 0.812 0.633  0.01
F 0.912 0.367 0.812  0.01
F 0.723 0.188 0.367  0.01
F 0.090 0.633 0.188  0.01
Rb 0.209 0.196 0.395  0.00
Rb 0.799 0.804 0.605  0.00
Rb 0.603 0.605 0.196  0.00
Rb 0.404 0.395 0.804  0.00
Ag 0.027 0.000 0.000  0.06